Below is Ho2U2Se7 after structural relaxation, with properties calculated at the GGA-PBE level.

Values from the calculation:
ρ, Mg/m³: 8.47
Raw formation energy, kJ per mole of atoms: -138
Space group: Imm2 (44)

a = 4.015 Å, b = 8.890 Å, c = 8.890 Å
α = 60.35°, β = 76.95°, γ = 76.95°
Each line ends with the local moment (μB).
Sites, in units of the cell vectors:
U 0.500 0.329 0.671  -2.11
U 0.000 0.780 0.220  -2.06
Se 0.609 0.498 0.284  0.06
Se 0.817 0.074 0.292  0.04
Se 0.134 0.144 0.588  0.06
Se 0.183 0.708 0.926  0.04
Se 0.866 0.412 0.856  0.06
Se 0.391 0.716 0.502  0.06
Se 0.500 0.010 0.990  0.10
Ho 0.741 0.850 0.668  0.01
Ho 0.259 0.332 0.150  0.01

Below is HoU2Se6 after structural relaxation, with properties calculated at the GGA-PBE level.

Values from the calculation:
Offset from the most stable computed form, eV/f.u.: 0.00
ρ, Mg/m³: 6.07
Raw formation energy, kJ per mole of atoms: -124
Space group: C2/m (12)

a = 4.147 Å, b = 8.393 Å, c = 9.271 Å
α = 103.94°, β = 102.92°, γ = 90.00°
Each line ends with the local moment (μB).
Sites, in units of the cell vectors:
Se 0.336 0.900 0.672  -0.07
Se 0.326 0.442 0.653  -0.08
Se 0.010 0.239 0.019  -0.05
Se 0.674 0.558 0.347  -0.08
Se 0.990 0.761 0.981  -0.05
Se 0.664 0.100 0.328  -0.07
Ho 0.500 0.000 0.000  -0.01
U 0.165 0.324 0.330  1.70
U 0.835 0.676 0.670  1.70

Below is HoUSe3 after structural relaxation, with properties calculated at the GGA-PBE level.

Values from the calculation:
Offset from the most stable computed form, eV/f.u.: 0.00
ρ, Mg/m³: 8.68
Raw formation energy, kJ per mole of atoms: -144
Space group: Pnma (62)

a = 4.062 Å, b = 7.660 Å, c = 15.733 Å
α = 90.00°, β = 90.00°, γ = 90.00°
Each line ends with the local moment (μB).
Sites, in units of the cell vectors:
Se 0.750 0.852 0.220  -0.05
Se 0.250 0.378 0.567  -0.03
Se 0.250 0.007 0.392  -0.02
Se 0.750 0.352 0.280  -0.05
Se 0.750 0.993 0.608  -0.02
Se 0.750 0.493 0.892  -0.02
Se 0.250 0.148 0.780  -0.05
Se 0.250 0.648 0.720  -0.05
Se 0.250 0.507 0.108  -0.02
Se 0.750 0.622 0.433  -0.03
Se 0.250 0.878 0.933  -0.03
Se 0.750 0.122 0.067  -0.03
U 0.750 0.865 0.793  2.60
U 0.750 0.365 0.707  2.60
U 0.250 0.635 0.293  2.60
U 0.250 0.135 0.207  2.60
Ho 0.250 0.764 0.543  0.05
Ho 0.250 0.264 0.957  0.05
Ho 0.750 0.736 0.043  0.05
Ho 0.750 0.236 0.457  0.05

no.,VASP energy (eV per atom),density of states at the Fermi level (states/eV/f.u.)
1,-6.528,9.899
2,-6.629,10.612
3,-6.754,7.396